Below is SrPr6Pb3N2 after structural relaxation, with properties calculated at the PBE level.

Cell and atoms, written as CIF:
```
data_SrPr6Pb3N2
_cell_length_a 13.252
_cell_length_b 13.252
_cell_length_c 4.971
_cell_angle_alpha 90.00
_cell_angle_beta 90.00
_cell_angle_gamma 157.76
_symmetry_space_group_name_H-M 'P 1'
_symmetry_Int_Tables_number 1
loop_
_symmetry_equiv_pos_as_xyz
'x,y,z'
loop_
_atom_site_label
_atom_site_type_symbol
_atom_site_fract_x
_atom_site_fract_y
_atom_site_fract_z
_atom_site_occupancy
N1 N 0.604 0.396 0.000 1
N2 N 0.396 0.604 0.000 1
Pb1 Pb 0.000 0.000 0.500 1
Pb2 Pb 0.808 0.192 0.500 1
Pb3 Pb 0.192 0.808 0.500 1
Pr1 Pr 0.897 0.103 0.000 1
Pr2 Pr 0.701 0.299 0.000 1
Pr3 Pr 0.299 0.701 0.000 1
Pr4 Pr 0.103 0.897 0.000 1
Pr5 Pr 0.596 0.404 0.500 1
Pr6 Pr 0.404 0.596 0.500 1
Sr1 Sr 0.500 0.500 0.000 1
```

Output
Space group   Cmmm


Below is Sr4Pr3Pb3N2 after structural relaxation, with properties calculated at the PBE level.

Cell and atoms, written as CIF:
```
data_Sr4Pr3Pb3N2
_cell_length_a 13.670
_cell_length_b 13.670
_cell_length_c 4.996
_cell_angle_alpha 90.00
_cell_angle_beta 90.00
_cell_angle_gamma 157.91
_symmetry_space_group_name_H-M 'P 1'
_symmetry_Int_Tables_number 1
loop_
_symmetry_equiv_pos_as_xyz
'x,y,z'
loop_
_atom_site_label
_atom_site_type_symbol
_atom_site_fract_x
_atom_site_fract_y
_atom_site_fract_z
_atom_site_occupancy
N1 N 0.592 0.408 0.000 1
N2 N 0.408 0.592 0.000 1
Pb1 Pb 0.000 0.000 0.500 1
Pb2 Pb 0.812 0.188 0.500 1
Pb3 Pb 0.188 0.812 0.500 1
Pr1 Pr 0.500 0.500 0.000 1
Pr2 Pr 0.599 0.401 0.500 1
Pr3 Pr 0.401 0.599 0.500 1
Sr1 Sr 0.900 0.100 0.000 1
Sr2 Sr 0.701 0.299 0.000 1
Sr3 Sr 0.299 0.701 0.000 1
Sr4 Sr 0.100 0.900 0.000 1
```

Output
Space group   Cmmm
ΔE to the lowest computed polymorph   0.0 meV per atom


The following DFT total energy values (in eV/atom) correspond, in order, to the records above: -5.609, -4.775.